Entry 1:
DFT (PBE-GGA) results for YCrNi2H after structural relaxation.

a = 3.9334 Å, b = 4.2188 Å, c = 3.9334 Å
α = 90.00°, β = 90.00°, γ = 90.00°
Closest atoms and distances in Å follow each position.
Fractional coordinates of all 5 atoms:
Y 0.0000 0.5000 0.0000  2 H 2.11
Ni 0.0000 0.0000 0.5000  2 H 1.97
Ni 0.5000 0.0000 0.0000  2 H 1.97
H 0.0000 0.0000 0.0000  4 Ni 1.97, 2 Y 2.11
Cr 0.5000 0.5000 0.5000  4 Y 2.78, 8 Ni 2.88

Properties
Total energy   -30.497 eV per cell
Symmetry   P4/mmm
Total magnetization   0.778 μB/atom
Fermi-level density of states   0.490 states/eV per atom

=====

Entry 2:
DFT (PBE-GGA) results for Zn2CrNiH after structural relaxation.

a = 4.0404 Å, b = 4.0404 Å, c = 3.4153 Å
α = 90.00°, β = 90.00°, γ = 90.00°
Closest atoms and distances in Å follow each position.
Fractional coordinates of all 5 atoms:
Ni 0.5000 0.5000 0.5000  8 Zn 2.65, 4 Cr 2.86
Zn 0.0000 0.5000 0.0000  2 H 2.02
Zn 0.5000 0.0000 0.0000  2 H 2.02
H 0.0000 0.0000 0.0000  2 Cr 1.71
Cr 0.0000 0.0000 0.5000  2 H 1.71

Properties
Total energy   -20.674 eV per cell
Symmetry   P4/mmm
Total magnetization   0.592 μB/atom
Fermi-level density of states   0.547 states/eV per atom

=====

Entry 3:
DFT (PBE-GGA) results for ZnCr2NiH after structural relaxation.

a = 4.8226 Å, b = 4.3185 Å, c = 4.8226 Å
α = 90.00°, β = 90.00°, γ = 90.00°
Closest atoms and distances in Å follow each position.
Fractional coordinates of all 5 atoms:
Ni 0.0000 0.5000 0.0000  2 Zn 2.16
Zn 0.0000 0.0000 0.0000  2 Ni 2.16, 4 Cr 2.41
H 0.5000 0.5000 0.5000  8 Cr 3.24, 4 Ni 3.41
Cr 0.0000 0.0000 0.5000  2 Zn 2.41
Cr 0.5000 0.0000 0.0000  2 Zn 2.41

Properties
Total energy   -21.833 eV per cell
Symmetry   P4/mmm
Total magnetization   1.781 μB/atom
Fermi-level density of states   0.477 states/eV per atom

=====

Entry 4:
DFT (PBE-GGA) results for ZnCr2NiH after structural relaxation.

a = 3.5306 Å, b = 3.5306 Å, c = 4.0037 Å
α = 90.00°, β = 90.00°, γ = 90.00°
Closest atoms and distances in Å follow each position.
Fractional coordinates of all 5 atoms:
Ni 0.0000 0.0000 0.5000  2 H 2.00
Zn 0.5000 0.5000 0.5000  4 Ni 2.50, 8 Cr 2.67
H 0.0000 0.0000 0.0000  4 Cr 1.77
Cr 0.0000 0.5000 0.0000  2 H 1.77
Cr 0.5000 0.0000 0.0000  2 H 1.77

Properties
Total energy   -29.169 eV per cell
Symmetry   P4/mmm
Total magnetization   0.000 μB/atom
Fermi-level density of states   0.809 states/eV per atom

=====

Entry 5:
DFT (PBE-GGA) results for NpCrH3 after structural relaxation.

a = 3.5674 Å, b = 3.5674 Å, c = 3.5674 Å
α = 90.00°, β = 90.00°, γ = 90.00°
Closest atoms and distances in Å follow each position.
Fractional coordinates of all 5 atoms:
Np 0.5000 0.5000 0.5000  12 H 2.52
Cr 0.0000 0.0000 0.0000  6 H 1.78
H 0.0000 0.5000 0.0000  2 Cr 1.78
H 0.0000 0.0000 0.5000  2 Cr 1.78
H 0.5000 0.0000 0.0000  2 Cr 1.78

Properties
Total energy   -32.727 eV per cell
Symmetry   Pm-3m
Total magnetization   0.582 μB/atom
Fermi-level density of states   0.672 states/eV per atom

=====

Entry 6:
DFT (PBE-GGA) results for NpCr2H6 after structural relaxation.

a = 4.4321 Å, b = 4.2795 Å, c = 4.2795 Å
α = 120.00°, β = 90.00°, γ = 90.00°
Closest atoms and distances in Å follow each position.
Fractional coordinates of all 9 atoms:
Np 0.0000 0.0000 0.0000  12 H 2.36
Cr 0.5000 0.3333 0.6667  6 H 1.74
Cr 0.5000 0.6667 0.3333  6 H 1.74
H 0.7750 0.0000 0.5000  2 Cr 1.74
H 0.7750 0.5000 0.0000  2 Cr 1.74
H 0.2250 0.0000 0.5000  2 Cr 1.74
H 0.2250 0.5000 0.5000  2 Cr 1.74
H 0.2250 0.5000 0.0000  2 Cr 1.74
H 0.7750 0.5000 0.5000  2 Cr 1.74

Properties
Total energy   -52.948 eV per cell
Symmetry   P6/mmm
Total magnetization   0.581 μB/atom
Fermi-level density of states   0.941 states/eV per atom

=====

Entry 7:
DFT (PBE-GGA) results for NpCrH4 after structural relaxation.

a = 3.3195 Å, b = 3.3194 Å, c = 4.7109 Å
α = 89.99°, β = 90.02°, γ = 90.00°
Closest atoms and distances in Å follow each position.
Fractional coordinates of all 6 atoms:
Np 0.5000 0.0000 0.0000  8 H 2.45
Cr 0.0000 0.5000 0.5000  6 H 1.65-1.66
H 0.0001 0.5000 0.1503  1 H 1.42
H 0.9999 0.5000 0.8497  1 H 1.42
H 0.0000 0.0000 0.5000  2 Cr 1.66
H 0.5000 0.5000 0.5000  2 Cr 1.66

Properties
Total energy   -35.724 eV per cell
Symmetry   P4/mmm
Total magnetization   0.469 μB/atom
Fermi-level density of states   0.731 states/eV per atom

=====

Entry 8:
DFT (PBE-GGA) results for NpCrH after structural relaxation.

a = 4.2770 Å, b = 4.2770 Å, c = 4.6940 Å
α = 117.10°, β = 117.10°, γ = 90.00°
Closest atoms and distances in Å follow each position.
Fractional coordinates of all 6 atoms:
Np 0.7824 0.7824 0.5648  3 H 2.21-2.33
Np 0.0324 0.5324 0.0648  3 H 2.21-2.33
Cr 0.3600 0.3600 0.7200  1 H 1.81
Cr 0.6100 0.1100 0.2200  1 H 1.81
H 0.3576 0.8576 0.7151  1 Cr 1.81
H 0.1076 0.1076 0.2151  1 Cr 1.81

Properties
Total energy   -50.473 eV per cell
Symmetry   I4_1md
Total magnetization   0.202 μB/atom
Fermi-level density of states   1.577 states/eV per atom

=====

Q: Which of these has the lowest Fermi-level density of states?
A: number 3

=====

Q: Look up the total energy of the second one.
A: -20.674 eV per cell